The following is a PBE calculation of a geometry-optimized K2YFe structure, from Alexandria.

Symmetry = P4mm, No. 99
Energy above the lowest structure with this stoichiometry = 0.000 eV per atom
Formation energy from the elements = 194 kJ/mol of formula units
DOS at the Fermi energy = 5.33 states/eV per cell

abc: 3.782 3.782 10.928
angles: 90.00 90.00 90.00
Fractional coordinates of all 4 atoms:
K: 0.000 0.000 0.000
K: 0.500 0.500 0.372
Y: 0.000 0.000 0.669
Fe: 0.500 0.500 0.757

The following is a PBE calculation of a geometry-optimized Be2PdI8 structure, from Alexandria.

Symmetry = C2/m, No. 12
VASP energy = -2.613 eV/atom

abc: 8.605 8.605 7.303
angles: 98.26 98.26 96.30
Fractional coordinates of all 11 atoms:
Be: 0.212 0.212 0.225
Be: 0.788 0.788 0.775
Pd: 0.000 0.000 0.500
I: 0.025 0.740 0.653
I: 0.231 0.231 0.911
I: 0.260 0.975 0.347
I: 0.434 0.434 0.302
I: 0.566 0.566 0.698
I: 0.740 0.025 0.653
I: 0.769 0.769 0.089
I: 0.975 0.260 0.347

The following is a PBE calculation of a geometry-optimized RbSm2Tl structure, from Alexandria.

Symmetry = R-3m, No. 166
Formation energy from the elements = 66 kJ/mol of formula units
DOS at the Fermi energy = 5.30 states/eV per cell

abc: 12.852 12.852 12.852
angles: 17.08 17.08 17.08
Fractional coordinates of all 4 atoms:
Rb: 0.000 0.000 0.000
Sm: 0.104 0.104 0.104
Sm: 0.896 0.896 0.896
Tl: 0.500 0.500 0.500

The following is a PBE calculation of a geometry-optimized MgSe2O structure, from Alexandria.

Symmetry = R-3m, No. 166
Energy above the lowest structure with this stoichiometry = 0.000 eV per atom
DOS at the Fermi energy = 1.92 states/eV per cell

abc: 6.673 6.673 6.673
angles: 36.69 36.69 36.69
Fractional coordinates of all 4 atoms:
Mg: 0.000 0.000 0.000
Se: 0.400 0.400 0.400
Se: 0.600 0.600 0.600
O: 0.500 0.500 0.500

The following is a PBE calculation of a geometry-optimized LaZnAs2H structure, from Alexandria.

Symmetry = P4/mmm, No. 123
DOS at the Fermi energy = 1.76 states/eV per cell
VASP energy = -4.053 eV/atom

abc: 4.713 4.713 4.030
angles: 90.00 90.00 90.00
Fractional coordinates of all 5 atoms:
La: 0.000 0.000 0.000
Zn: 0.500 0.500 0.000
As: 0.000 0.500 0.500
As: 0.500 0.000 0.500
H: 0.500 0.500 0.500

The following is a PBE calculation of a geometry-optimized PuZrBi structure, from Alexandria.

Symmetry = Pmma, No. 51
Energy above the lowest structure with this stoichiometry = 0.214 eV per atom
Formation energy from the elements = -15 kJ/mol of formula units
DOS at the Fermi energy = 36.92 states/eV per cell

abc: 9.756 3.329 9.789
angles: 90.00 90.00 90.00
Fractional coordinates of all 12 atoms:
Pu: 0.035 0.000 0.171
Pu: 0.465 0.000 0.171
Pu: 0.535 0.000 0.829
Pu: 0.965 0.000 0.829
Zr: 0.000 0.000 0.500
Zr: 0.250 0.000 0.676
Zr: 0.500 0.000 0.500
Zr: 0.750 0.000 0.324
Bi: 0.250 0.500 0.389
Bi: 0.250 0.500 0.951
Bi: 0.750 0.500 0.049
Bi: 0.750 0.500 0.611

The following is a PBE calculation of a geometry-optimized Sm3Er2Tm5 structure, from Alexandria.

Symmetry = Ibam, No. 72
Energy above the lowest structure with this stoichiometry = 0.148 eV per atom
Formation energy from the elements = 335 kJ/mol of formula units
DOS at the Fermi energy = 32.81 states/eV per cell

abc: 11.010 11.010 11.010
angles: 109.10 80.37 147.14
Fractional coordinates of all 20 atoms:
Sm: 0.247 0.159 0.405
Sm: 0.250 0.250 0.000
Sm: 0.253 0.659 0.912
Sm: 0.747 0.341 0.088
Sm: 0.750 0.750 0.000
Sm: 0.753 0.841 0.595
Er: 0.156 0.898 0.053
Er: 0.344 0.398 0.742
Er: 0.656 0.602 0.258
Er: 0.844 0.102 0.947
Tm: 0.155 0.402 0.558
Tm: 0.250 0.503 0.253
Tm: 0.250 0.750 0.500
Tm: 0.250 0.997 0.747
Tm: 0.345 0.902 0.247
Tm: 0.655 0.098 0.753
Tm: 0.750 0.003 0.253
Tm: 0.750 0.250 0.500
Tm: 0.750 0.497 0.747
Tm: 0.845 0.598 0.442

The following is a PBE calculation of a geometry-optimized PuTe2O8 structure, from Alexandria.

Symmetry = C2/m, No. 12
DOS at the Fermi energy = 9.17 states/eV per cell
VASP energy = -6.633 eV/atom

abc: 6.531 6.531 5.678
angles: 103.76 103.76 60.68
Fractional coordinates of all 11 atoms:
Pu: 0.000 0.000 0.000
Te: 0.204 0.204 0.700
Te: 0.796 0.796 0.300
O: 0.081 0.678 0.172
O: 0.140 0.140 0.356
O: 0.322 0.919 0.828
O: 0.370 0.370 0.761
O: 0.630 0.630 0.239
O: 0.678 0.081 0.172
O: 0.860 0.860 0.644
O: 0.919 0.322 0.828

The following is a PBE calculation of a geometry-optimized ZnSBrCl2 structure, from Alexandria.

Symmetry = P4/mmm, No. 123
Energy above the lowest structure with this stoichiometry = 0.000 eV per atom
DOS at the Fermi energy = 5.35 states/eV per cell

abc: 4.492 4.492 6.156
angles: 90.00 90.00 90.00
Fractional coordinates of all 5 atoms:
Zn: 0.000 0.000 0.000
S: 0.000 0.000 0.500
Br: 0.500 0.500 0.500
Cl: 0.000 0.500 0.000
Cl: 0.500 0.000 0.000

The following is a PBE calculation of a geometry-optimized Zr2PW structure, from Alexandria.

Symmetry = Cmmm, No. 65
Formation energy from the elements = -129 kJ/mol of formula units
DOS at the Fermi energy = 3.08 states/eV per cell

abc: 3.079 3.079 8.165
angles: 90.00 90.00 107.93
Fractional coordinates of all 4 atoms:
Zr: 0.000 0.000 0.229
Zr: 0.000 0.000 0.771
P: 0.500 0.500 0.000
W: 0.500 0.500 0.500

The following is a PBE calculation of a geometry-optimized Ac3LaNi3 structure, from Alexandria.

Symmetry = P2_1/c, No. 14
Energy above the lowest structure with this stoichiometry = 0.000 eV per atom
Formation energy from the elements = -111 kJ/mol of formula units
DOS at the Fermi energy = 24.98 states/eV per cell

abc: 8.449 7.502 13.288
angles: 90.00 90.41 90.00
Fractional coordinates of all 28 atoms:
Ac: 0.123 0.160 0.333
Ac: 0.123 0.340 0.833
Ac: 0.376 0.685 0.173
Ac: 0.376 0.815 0.673
Ac: 0.377 0.191 0.075
Ac: 0.377 0.309 0.575
Ac: 0.623 0.691 0.425
Ac: 0.623 0.809 0.925
Ac: 0.624 0.185 0.327
Ac: 0.624 0.315 0.827
Ac: 0.877 0.660 0.167
Ac: 0.877 0.840 0.667
La: 0.138 0.665 0.427
La: 0.138 0.835 0.927
La: 0.862 0.165 0.073
La: 0.862 0.335 0.573
Ni: 0.117 0.556 0.637
Ni: 0.117 0.944 0.137
Ni: 0.367 0.065 0.854
Ni: 0.367 0.435 0.354
Ni: 0.372 0.535 0.958
Ni: 0.372 0.965 0.458
Ni: 0.628 0.035 0.542
Ni: 0.628 0.465 0.042
Ni: 0.633 0.565 0.646
Ni: 0.633 0.935 0.146
Ni: 0.883 0.056 0.863
Ni: 0.883 0.444 0.363

The following is a PBE calculation of a geometry-optimized AlInAu structure, from Alexandria.

Symmetry = F-43m, No. 216
Formation energy from the elements = -66 kJ/mol of formula units
DOS at the Fermi energy = 1.26 states/eV per cell

abc: 4.500 4.500 4.500
angles: 60.00 60.00 60.00
Fractional coordinates of all 3 atoms:
Al: 0.000 0.000 0.000
In: 0.500 0.500 0.500
Au: 0.250 0.250 0.250

| no. | volume (Å³ per atom) |
| --- | --- |
| 1 | 39.07 |
| 2 | 47.72 |
| 3 | 39.92 |
| 4 | 23.75 |
| 5 | 17.91 |
| 6 | 26.50 |
| 7 | 33.45 |
| 8 | 18.45 |
| 9 | 24.84 |
| 10 | 18.41 |
| 11 | 30.08 |
| 12 | 21.47 |